Material: TmAlCl6
Method: DFT, PBE
State: optimized geometry

## Properties
The value obtained for the uncorrected formation energy is -1.8209 eV/atom.

Lattice parameters (Å, degrees): 7.0939 7.0939 6.1731 97.26 97.26 128.36
Last column: nearest neighbours and their distance in Å.
Sites, in units of the cell vectors:
Cl 0.5930 0.8539 0.7239  1 Al 2.34
Cl 0.2604 0.2604 0.7392  1 Al 2.38, 1 Tm 2.59
Cl 0.4070 0.1461 0.2761  1 Al 2.34
Al 0.5000 0.5000 0.5000  6 Cl 2.34-2.38
Cl 0.1461 0.4070 0.2761  1 Al 2.34
Cl 0.8539 0.5930 0.7239  1 Al 2.34
Tm 0.0000 0.0000 0.0000  6 Cl 2.59-2.63
Cl 0.7396 0.7396 0.2608  1 Al 2.38, 1 Tm 2.59